## TiTl3Tc (PBE)

Data for crystalline TiTl3Tc at its relaxed geometry.

Summary:
Crystal system   cubic
Energy   -3.800 eV per atom
Calculated formation energy   123 kJ per mole of atoms
Space group   No. 221

Structure (extended XYZ):
```
5
Lattice="-0.296 0.394 -5.299 -0.944 -5.226 -0.336 -5.229 0.922 0.360" Properties=species:S:1:pos:R:3 pbc="T T T"
Ti 0.000 0.000 0.000
Tl -2.614 0.461 0.180
Tl -0.148 0.197 -2.649
Tc -3.234 -1.955 -2.637
Tl -0.472 -2.613 -0.168
```